LiSmMg2Se4 | PBE | optimized geometry

Output
raw total energy = -4.380 eV per atom
energy relative to the elements, uncorrected = -1.410 eV per atom

abc: 3.9920 6.9065 13.3121
angles: 90.00 90.00 106.80
Last column: nearest neighbours and their distance in Å.
Atoms (fractional coordinates):
Li  0.8523  0.7046  0.7500  4 Se 2.43-2.46
Li  0.1477  0.2954  0.2500  4 Se 2.43-2.46
Sm  0.1217  0.2435  0.7500  6 Se 2.95-3.00
Sm  0.8783  0.7565  0.2500  6 Se 2.95-3.00
Mg  0.3747  0.7495  0.5574  6 Se 2.66-2.92
Mg  0.6253  0.2505  0.0574  6 Se 2.66-2.92
Mg  0.6253  0.2505  0.4426  6 Se 2.66-2.92
Mg  0.3747  0.7495  0.9426  6 Se 2.66-2.92
Se  0.2752  0.5504  0.1159  1 Li 2.46, 1 Mg 2.66
Se  0.7248  0.4496  0.6159  1 Li 2.46, 1 Mg 2.66
Se  0.7248  0.4496  0.8841  1 Li 2.46, 1 Mg 2.66
Se  0.2752  0.5504  0.3841  1 Li 2.46, 1 Mg 2.66
Se  0.0000  0.0000  0.5000  4 Mg 2.70
Se  0.0000  0.0000  0.0000  4 Mg 2.70
Se  0.4575  0.9150  0.7500  2 Li 2.43
Se  0.5425  0.0850  0.2500  2 Li 2.43

LiMgSn2Se4 | PBE | optimized geometry

Output
raw total energy = -3.925 eV per atom
energy relative to the elements, uncorrected = -0.743 eV per atom

abc: 4.0398 7.0355 7.0481
angles: 70.84 90.00 90.00
Last column: nearest neighbours and their distance in Å.
Atoms (fractional coordinates):
Li  0.5000  0.5000  0.0000  6 Se 2.82-2.83
Mg  0.0000  0.5000  0.5000  6 Se 2.76-2.77
Sn  0.0000  0.0000  0.0000  6 Se 2.98
Sn  0.5000  0.0000  0.5000  6 Se 2.92
Se  0.0000  0.7330  0.7481  1 Mg 2.76, 2 Li 2.83, 3 Sn 2.92-2.98
Se  0.0000  0.2670  0.2519  1 Mg 2.76, 2 Li 2.83, 3 Sn 2.92-2.98
Se  0.5000  0.7273  0.2636  2 Mg 2.77, 1 Li 2.82, 3 Sn 2.92-2.98
Se  0.5000  0.2727  0.7364  2 Mg 2.77, 1 Li 2.82, 3 Sn 2.92-2.98

LiMgSnSe | PBE | optimized geometry

Output
raw total energy = -3.300 eV per atom
energy relative to the elements, uncorrected = -0.551 eV per atom
E above lowest polymorph = 59 meV/atom

abc: 3.2829 3.6380 7.8557
angles: 90.00 90.48 90.00
Last column: nearest neighbours and their distance in Å.
Atoms (fractional coordinates):
Li  0.8224  0.5000  0.7188  2 Se 2.62
Mg  0.8144  0.0000  0.3199  4 Se 2.68
Sn  0.3199  0.0000  0.9751  2 Mg 3.15-3.19, 4 Li 3.16-3.18, 2 Sn 3.28
Se  0.3167  0.5000  0.4593  2 Li 2.62, 4 Mg 2.68

LiMgSnSe | PBE | optimized geometry

Output
raw total energy = -3.338 eV per atom
energy relative to the elements, uncorrected = -0.589 eV per atom
E above lowest polymorph = 21 meV/atom

abc: 3.7498 3.7757 8.0931
angles: 104.36 88.45 121.25
Last column: nearest neighbours and their distance in Å.
Atoms (fractional coordinates):
Li  0.6203  0.4910  0.6730  3 Se 2.56-2.58
Mg  0.8532  0.9064  0.3092  3 Se 2.59-2.60
Sn  0.0650  0.3491  0.9957  3 Mg 3.24-3.30, 3 Li 3.25-3.43
Se  0.2377  0.7026  0.4952  3 Li 2.56-2.58, 3 Mg 2.59-2.60

LiMgSnSe | PBE | optimized geometry

Output
raw total energy = -3.358 eV per atom
energy relative to the elements, uncorrected = -0.609 eV per atom
E above lowest polymorph = 1 meV/atom

abc: 3.7418 3.7425 7.9569
angles: 76.64 76.63 60.07
Last column: nearest neighbours and their distance in Å.
Atoms (fractional coordinates):
Li  0.3958  0.0329  0.1547  3 Se 2.55
Mg  0.9428  0.5811  0.5167  3 Se 2.59
Sn  0.1691  0.8050  0.8355  3 Mg 3.25-3.27, 3 Li 3.26-3.27
Se  0.6707  0.3084  0.3309  3 Li 2.55, 3 Mg 2.59

LiMgSnSe | PBE | optimized geometry

Output
raw total energy = -3.294 eV per atom
energy relative to the elements, uncorrected = -0.546 eV per atom
E above lowest polymorph = 64 meV/atom

abc: 3.7563 5.0041 6.0698
angles: 109.85 89.80 112.03
Last column: nearest neighbours and their distance in Å.
Atoms (fractional coordinates):
Li  0.7235  0.3397  0.3344  3 Se 2.65-2.94
Mg  0.0724  0.0454  0.7737  2 Se 2.68, 2 Sn 2.80-3.00
Sn  0.3954  0.6942  0.9703  1 Se 2.79, 3 Mg 2.80-3.00, 1 Li 3.00
Se  0.4390  0.7748  0.4485  3 Li 2.65-2.94, 2 Mg 2.68, 1 Sn 2.79

LiMgSnSe | PBE | optimized geometry

Output
raw total energy = -3.341 eV per atom
energy relative to the elements, uncorrected = -0.592 eV per atom
E above lowest polymorph = 17 meV/atom

abc: 7.9864 3.7120 6.4879
angles: 90.00 106.03 90.00
Last column: nearest neighbours and their distance in Å.
Atoms (fractional coordinates):
Li  0.3176  0.0000  0.2273  3 Se 2.58-2.59
Li  0.3176  0.5000  0.7273  3 Se 2.58-2.59
Mg  0.6965  0.0000  0.3555  3 Se 2.61, 1 Li 2.91
Mg  0.6965  0.5000  0.8555  3 Se 2.61, 1 Li 2.91
Sn  0.0089  0.0000  0.7929  3 Li 3.19-3.21, 3 Mg 3.22
Sn  0.0089  0.5000  0.2929  3 Li 3.19-3.21, 3 Mg 3.22
Se  0.5038  0.0000  0.9581  3 Li 2.58-2.59, 3 Mg 2.61
Se  0.5038  0.5000  0.4581  3 Li 2.58-2.59, 3 Mg 2.61

LiMgSnSe | PBE | optimized geometry

Output
raw total energy = -3.300 eV per atom
energy relative to the elements, uncorrected = -0.552 eV per atom
E above lowest polymorph = 58 meV/atom

abc: 3.6886 4.0444 6.4585
angles: 71.82 89.93 89.99
Last column: nearest neighbours and their distance in Å.
Atoms (fractional coordinates):
Li  0.8777  0.8508  0.1963  4 Se 2.82-2.83
Mg  0.8770  0.1365  0.6327  2 Se 2.71-2.72, 4 Sn 3.04
Sn  0.3765  0.5299  0.8469  1 Se 2.83, 4 Mg 3.04
Se  0.3771  0.2935  0.3080  2 Mg 2.71-2.72, 4 Li 2.82-2.83, 1 Sn 2.83

Among the records above, which one has the highest raw total energy? number 6